VASP calculation (meta-GGA SCAN) on a PBEsol-optimized structure of YZnPb3.

Cell: 5.797 5.797 5.797 Å, 90.00 90.00 90.00°
Element x y z (fractional)
Pb 0.000 0.500 0.000
Pb 0.000 0.000 0.500
Pb 0.500 0.000 0.000
Y 0.000 0.000 0.000
Zn 0.500 0.500 0.500

DFT formation energy ... 0.546 eV per atom

VASP calculation (meta-GGA SCAN) on a PBEsol-optimized structure of BaZn13.

Cell: 8.568 8.568 8.568 Å, 60.00 60.00 60.00°
Element x y z (fractional)
Ba 0.750 0.750 0.750
Ba 0.250 0.250 0.250
Zn 0.500 0.500 0.500
Zn 0.000 0.000 0.000
Zn 0.201 0.799 0.441
Zn 0.441 0.559 0.201
Zn 0.559 0.441 0.799
Zn 0.799 0.201 0.559
Zn 0.201 0.441 0.559
Zn 0.441 0.201 0.799
Zn 0.559 0.799 0.201
Zn 0.799 0.559 0.441
Zn 0.201 0.559 0.799
Zn 0.441 0.799 0.559
Zn 0.559 0.201 0.441
Zn 0.799 0.441 0.201
Zn 0.059 0.701 0.299
Zn 0.299 0.941 0.059
Zn 0.701 0.059 0.941
Zn 0.941 0.299 0.701
Zn 0.941 0.059 0.299
Zn 0.701 0.299 0.059
Zn 0.299 0.701 0.941
Zn 0.059 0.941 0.701
Zn 0.701 0.941 0.299
Zn 0.941 0.701 0.059
Zn 0.059 0.299 0.941
Zn 0.299 0.059 0.701

DFT formation energy ... -0.225 eV per atom

VASP calculation (meta-GGA SCAN) on a PBEsol-optimized structure of Xe.

Cell: 4.406 4.406 11.767 Å, 79.21 79.21 60.00°
Element x y z (fractional)
Xe 0.000 0.000 0.000
Xe 0.222 0.222 0.333
Xe 0.778 0.778 0.667

DFT formation energy ... 0.001 eV per atom
Relative energy among the computed polymorphs ... 0 kJ/mol of formula units

VASP calculation (meta-GGA SCAN) on a PBEsol-optimized structure of Cr2SiRh.

Cell: 2.641 3.837 4.754 Å, 90.00 90.00 90.00°
Element x y z (fractional)
Cr 0.000 0.000 0.719
Cr 0.000 0.000 0.281
Rh 0.500 0.500 0.000
Si 0.500 0.500 0.500

Formation energy from raw total energies ... -0.23 eV per atom

VASP calculation (meta-GGA SCAN) on a PBEsol-optimized structure of BaBiBO4.

Cell: 5.134 8.542 9.681 Å, 90.00 90.00 90.00°
Element x y z (fractional)
Ba 0.750 0.993 0.817
Ba 0.250 0.507 0.317
Ba 0.250 0.007 0.183
Ba 0.750 0.493 0.683
Bi 0.250 0.691 0.937
Bi 0.750 0.309 0.063
Bi 0.750 0.809 0.437
Bi 0.250 0.191 0.563
B 0.250 0.801 0.559
B 0.750 0.199 0.441
B 0.750 0.699 0.059
B 0.250 0.301 0.941
O 0.013 0.294 0.875
O 0.750 0.185 0.585
O 0.987 0.206 0.375
O 0.487 0.294 0.875
O 0.513 0.206 0.375
O 0.250 0.427 0.586
O 0.250 0.315 0.085
O 0.250 0.815 0.415
O 0.987 0.706 0.125
O 0.487 0.794 0.625
O 0.250 0.927 0.914
O 0.750 0.073 0.086
O 0.013 0.794 0.625
O 0.750 0.573 0.414
O 0.513 0.706 0.125
O 0.750 0.685 0.915

Formation energy from raw total energies ... -2.35 eV per atom

VASP calculation (meta-GGA SCAN) on a PBEsol-optimized structure of Nb2InReO.

Cell: 4.114 4.114 4.621 Å, 90.00 90.00 90.00°
Element x y z (fractional)
Re 0.500 0.500 0.500
Nb 0.000 0.500 0.000
Nb 0.500 0.000 0.000
O 0.000 0.000 0.000
In 0.000 0.000 0.500

Formation energy from raw total energies ... -0.28 eV per atom

VASP calculation (meta-GGA SCAN) on a PBEsol-optimized structure of ZrCdAg2.

Cell: 2.990 2.990 8.258 Å, 90.00 90.00 90.00°
Element x y z (fractional)
Zr 0.500 0.500 0.500
Ag 0.000 0.000 0.756
Ag 0.000 0.000 0.244
Cd 0.500 0.500 0.000

DFT formation energy ... -0.072 eV per atom

VASP calculation (meta-GGA SCAN) on a PBEsol-optimized structure of CaB2H8.

Cell: 4.286 6.513 6.513 Å, 90.00 90.00 90.00°
Element x y z (fractional)
H 0.000 0.585 0.663
H 0.000 0.415 0.337
H 0.500 0.337 0.585
H 0.500 0.663 0.415
H 0.767 0.828 0.784
H 0.767 0.172 0.216
H 0.267 0.216 0.828
H 0.267 0.784 0.172
H 0.233 0.828 0.784
H 0.233 0.172 0.216
H 0.733 0.216 0.828
H 0.733 0.784 0.172
H 0.000 0.838 0.512
H 0.000 0.162 0.488
H 0.500 0.488 0.838
H 0.500 0.512 0.162
Ca 0.500 0.000 0.500
Ca 0.000 0.500 0.000
B 0.000 0.771 0.688
B 0.000 0.229 0.312
B 0.500 0.312 0.771
B 0.500 0.688 0.229

Relative energy among the computed polymorphs ... 10 kJ/mol of formula units

VASP calculation (meta-GGA SCAN) on a PBEsol-optimized structure of RbMoN2.

Cell: 5.936 6.003 5.936 Å, 60.37 90.00 119.63°
Element x y z (fractional)
Mo 0.750 0.500 0.750
Mo 0.000 0.000 0.000
Rb 0.250 0.500 0.250
Rb 0.500 0.000 0.500
N 0.943 0.750 0.875
N 0.807 0.750 0.375
N 0.375 0.250 0.943
N 0.875 0.250 0.807

Formation energy from raw total energies ... -0.57 eV per atom
Relative energy among the computed polymorphs ... 3 kJ/mol of formula units

VASP calculation (meta-GGA SCAN) on a PBEsol-optimized structure of TaTeRh2F.

Cell: 4.101 4.101 4.779 Å, 90.00 90.00 90.00°
Element x y z (fractional)
F 0.000 0.000 0.000
Te 0.000 0.000 0.500
Rh 0.000 0.500 0.000
Rh 0.500 0.000 0.000
Ta 0.500 0.500 0.500

Formation energy from raw total energies ... 0.47 eV per atom

VASP calculation (meta-GGA SCAN) on a PBEsol-optimized structure of LiGeO2.

Cell: 3.169 3.169 5.826 Å, 74.22 74.22 60.00°
Element x y z (fractional)
Ge 0.000 0.000 0.000
O 0.898 0.898 0.307
O 0.102 0.102 0.693
Li 0.500 0.500 0.500

Formation energy from raw total energies ... -1.16 eV per atom

VASP calculation (meta-GGA SCAN) on a PBEsol-optimized structure of LiTe2Br.

Cell: 4.109 4.109 15.444 Å, 97.64 97.64 90.00°
Element x y z (fractional)
Te 0.375 0.875 0.250
Te 0.875 0.375 0.250
Te 0.125 0.125 0.750
Te 0.625 0.625 0.750
Br 0.250 0.750 0.500
Br 0.000 0.000 0.000
Li 0.750 0.250 0.500
Li 0.500 0.500 0.000

Formation energy from raw total energies ... -0.63 eV per atom
Relative energy among the computed polymorphs ... 28 kJ/mol of formula units